Record 1
Computed, not measured: an optimized crystal structure of Ba2BeB2O6 at the PBE level of DFT.

Cell lengths 4.8711, 6.1081, 6.2676 Å; angles 116.20, 90.00, 113.50 degrees
Last column: nearest neighbours and their distance in Å.
Sites, in units of the cell vectors:
B 0.9898 0.9797 0.7110  3 O 1.38-1.40
Ba 0.6934 0.3867 0.1926  7 O 2.70-2.86
O 0.8092 0.1157 0.7302  1 B 1.40
B 0.0102 0.0203 0.2890  3 O 1.38-1.40
O 0.1405 0.2810 0.3206  1 B 1.38
O 0.3064 0.1157 0.7302  1 B 1.40
O 0.8595 0.7190 0.6794  1 B 1.38
Be 0.5000 0.0000 0.5000  4 O 1.76
O 0.1908 0.8843 0.2698  1 B 1.40
O 0.6936 0.8843 0.2698  1 B 1.40
Ba 0.3066 0.6133 0.8074  7 O 2.70-2.86

## Properties
SG: No. 12
formation energy from raw total energies: -28.5 eV/f.u.
theoretical density: 4.4 g/cm3
electronic total energy: -0.5290 Ry/atom

Record 2
Computed, not measured: an optimized crystal structure of BaBe2B2O6 at the PBE level of DFT.

Cell lengths 8.8128, 7.2718, 6.7454 Å; angles 77.81, 53.76, 48.43 degrees
Last column: nearest neighbours and their distance in Å.
Sites, in units of the cell vectors:
O 0.5212 0.1565 0.4343  1 B 1.38
O 0.0935 0.7288 0.3620  1 B 1.38
O 0.5974 0.4026 0.5974  1 B 1.38
Be 0.8426 0.8426 0.6574  4 O 1.61-1.67
O 0.7288 0.0935 0.8157  1 B 1.38
B 0.7142 0.2858 0.7142  3 O 1.38
O 0.4343 0.8880 0.5212  1 B 1.38
Be 0.5926 0.5926 0.4074  4 O 1.61-1.67
B 0.5358 0.9642 0.5358  3 O 1.38
O 0.8474 0.6526 0.8474  1 B 1.38
Ba 0.2500 0.2500 0.2500  8 O 2.85-2.95
O 0.8880 0.4343 0.1565  1 B 1.38
Ba 0.0000 0.0000 0.0000  8 O 2.85-2.95
B 0.2858 0.7142 0.2858  3 O 1.38
O 0.3620 0.8157 0.0935  1 B 1.38
B 0.9642 0.5358 0.9642  3 O 1.38
Be 0.4074 0.4074 0.5926  4 O 1.61-1.67
O 0.8157 0.3620 0.7288  1 B 1.38
Be 0.6574 0.6574 0.8426  4 O 1.61-1.67
O 0.1565 0.5212 0.8880  1 B 1.38
O 0.4026 0.5974 0.4026  1 B 1.38
O 0.6526 0.8474 0.6526  1 B 1.38

## Properties
SG: No. 70
formation energy from raw total energies: -30.2 eV/f.u.
theoretical density: 3.6 g/cm3
electronic total energy: -0.5521 Ry/atom

Record 3
Computed, not measured: an optimized crystal structure of BaBeB2Se at the PBE level of DFT.

Cell lengths 4.2997, 4.9924, 4.2997 Å; angles 90.00, 90.00, 90.00 degrees
Last column: nearest neighbours and their distance in Å.
Sites, in units of the cell vectors:
B 0.5000 0.0000 0.0000  2 Be 2.15
Se 0.0000 0.5000 0.0000  2 Be 2.50
Be 0.0000 0.0000 0.0000  4 B 2.15
Ba 0.5000 0.5000 0.5000  4 Se 3.04, 8 B 3.29
B 0.0000 0.0000 0.5000  2 Be 2.15

## Properties
SG: No. 123
formation energy from raw total energies: 3.5 eV/f.u.
theoretical density: 4.4 g/cm3
electronic total energy: -0.2792 Ry/atom

Record 4
Computed, not measured: an optimized crystal structure of BaBeSnB2 at the PBE level of DFT.

Cell lengths 4.5256, 6.7094, 4.5256 Å; angles 90.00, 90.00, 90.00 degrees
Last column: nearest neighbours and their distance in Å.
Sites, in units of the cell vectors:
Sn 0.0000 0.0000 0.0000  4 B 2.26
Be 0.5000 0.5000 0.5000  4 Ba 3.20
B 0.5000 0.0000 0.0000  2 Sn 2.26
Ba 0.0000 0.5000 0.0000  4 Be 3.20, 2 Sn 3.35
B 0.0000 0.0000 0.5000  2 Sn 2.26

## Properties
SG: No. 123
theoretical density: 3.5 g/cm3
electronic total energy: -0.2092 Ry/atom
ΔE_f: 1.755 eV per atom

Record 5
Computed, not measured: an optimized crystal structure of BaBi2B4 at the PBE level of DFT.

Cell lengths 4.9690, 4.9690, 7.8666 Å; angles 71.59, 71.59, 90.00 degrees
Last column: nearest neighbours and their distance in Å.
Sites, in units of the cell vectors:
Bi 0.6182 0.6182 0.7637  1 B 2.39
B 0.2120 0.2120 0.5760  1 Bi 2.39
Ba 0.0000 0.0000 0.0000  4 B 2.48
Bi 0.3818 0.3818 0.2363  1 B 2.39
B 0.5000 0.0000 0.0000  2 Ba 2.48
B 0.7880 0.7880 0.4240  1 Bi 2.39
B 0.0000 0.5000 0.0000  2 Ba 2.48

## Properties
SG: No. 139
theoretical density: 5.7 g/cm3
electronic total energy: -0.2292 Ry/atom
ΔE_f: 2.081 eV per atom

Record 6
Computed, not measured: an optimized crystal structure of BaBi3B at the PBE level of DFT.

Cell lengths 5.3167, 5.3167, 5.3167 Å; angles 90.00, 90.00, 90.00 degrees
Last column: nearest neighbours and their distance in Å.
Sites, in units of the cell vectors:
Bi 0.0000 0.5000 0.0000  2 B 2.66
Bi 0.5000 0.0000 0.0000  2 B 2.66
Bi 0.0000 0.0000 0.5000  2 B 2.66
Ba 0.5000 0.5000 0.5000  12 Bi 3.76
B 0.0000 0.0000 0.0000  6 Bi 2.66

## Properties
SG: No. 221
energy relative to the lowest polymorph listed for this composition: 0 meV/atom
theoretical density: 8.6 g/cm3
electronic total energy: -0.2795 Ry/atom
ΔE_f: 0.246 eV per atom

Record 7
Computed, not measured: an optimized crystal structure of Ba2BiB at the PBE level of DFT.

Cell lengths 5.8326, 5.8326, 5.8326 Å; angles 60.00, 60.00, 60.00 degrees
Last column: nearest neighbours and their distance in Å.
Sites, in units of the cell vectors:
B 0.0000 0.0000 0.0000  8 Ba 3.57
Ba 0.2500 0.2500 0.2500  4 Bi 3.57, 4 B 3.57
Ba 0.7500 0.7500 0.7500  4 Bi 3.57, 4 B 3.57
Bi 0.5000 0.5000 0.5000  8 Ba 3.57

## Properties
SG: No. 225
energy relative to the lowest polymorph listed for this composition: 25 meV/atom
theoretical density: 5.9 g/cm3
electronic total energy: -0.2435 Ry/atom
ΔE_f: 0.287 eV per atom

Record 8
Computed, not measured: an optimized crystal structure of Ba2BiB at the PBE level of DFT.

Cell lengths 11.7254, 11.7254, 8.6583 Å; angles 47.38, 47.38, 90.00 degrees
Last column: nearest neighbours and their distance in Å.
Sites, in units of the cell vectors:
Ba 0.3750 0.5683 0.7500  2 B 3.07
B 0.5000 0.5000 0.0000  2 Bi 2.49
B 0.2500 0.7500 0.5000  2 Bi 2.49
Bi 0.0000 0.0000 0.0000  2 B 2.49
Ba 0.8750 0.6817 0.7500  2 B 3.07
Ba 0.3183 0.6250 0.2500  2 B 3.07
Ba 0.4317 0.1250 0.2500  2 B 3.07
Bi 0.7500 0.2500 0.5000  2 B 2.49

## Properties
SG: No. 122
energy relative to the lowest polymorph listed for this composition: 0 meV/atom
theoretical density: 4.8 g/cm3
electronic total energy: -0.2454 Ry/atom
ΔE_f: 0.262 eV per atom

Record 9
Computed, not measured: an optimized crystal structure of BaBi3B at the PBE level of DFT.

Cell lengths 6.3807, 6.3807, 6.3807 Å; angles 90.00, 90.00, 90.00 degrees
Last column: nearest neighbours and their distance in Å.
Sites, in units of the cell vectors:
Bi 0.5000 0.0000 0.0000  2 Ba 3.19
Bi 0.0000 0.5000 0.0000  2 Ba 3.19
Bi 0.0000 0.0000 0.5000  2 Ba 3.19
B 0.5000 0.5000 0.5000  12 Bi 4.51
Ba 0.0000 0.0000 0.0000  6 Bi 3.19

## Properties
SG: No. 221
energy relative to the lowest polymorph listed for this composition: 1542 meV/atom
theoretical density: 5.0 g/cm3
electronic total energy: -0.1661 Ry/atom
ΔE_f: 1.789 eV per atom

Record 10
Computed, not measured: an optimized crystal structure of BaBiB2 at the PBE level of DFT.

Cell lengths 4.7507, 4.7507, 9.3749 Å; angles 75.32, 75.32, 90.00 degrees
Last column: nearest neighbours and their distance in Å.
Sites, in units of the cell vectors:
B 0.8750 0.1253 0.7500  2 B 2.38, 2 Bi 2.49
B 0.8747 0.6250 0.2500  2 B 2.38, 2 Bi 2.49
B 0.3750 0.1247 0.7500  2 B 2.38, 2 Bi 2.49
Ba 0.5000 0.5000 0.0000  4 Bi 3.36, 8 B 3.44
B 0.8753 0.1250 0.2500  2 B 2.38, 2 Bi 2.49
Bi 0.0000 0.0000 0.0000  4 B 2.49
Ba 0.2500 0.7500 0.5000  4 Bi 3.36, 8 B 3.44
Bi 0.7500 0.2500 0.5000  4 B 2.49

## Properties
SG: No. 141
theoretical density: 6.2 g/cm3
electronic total energy: -0.2804 Ry/atom
ΔE_f: 0.975 eV per atom

Record 11
Computed, not measured: an optimized crystal structure of BaBi2BC at the PBE level of DFT.

Cell lengths 4.9354, 5.5609, 4.9354 Å; angles 90.00, 90.00, 90.00 degrees
Last column: nearest neighbours and their distance in Å.
Sites, in units of the cell vectors:
Bi 0.5000 0.0000 0.0000  2 C 2.47
B 0.5000 0.5000 0.5000  4 Ba 3.49, 8 Bi 3.72
C 0.0000 0.0000 0.0000  4 Bi 2.47
Ba 0.0000 0.5000 0.0000  2 C 2.78
Bi 0.0000 0.0000 0.5000  2 C 2.47

## Properties
SG: No. 123
theoretical density: 7.1 g/cm3
electronic total energy: -0.2843 Ry/atom
ΔE_f: 1.249 eV per atom

Record 12
Computed, not measured: an optimized crystal structure of BaCa2BiB at the PBE level of DFT.

Cell lengths 5.3649, 5.4504, 5.3649 Å; angles 90.00, 90.00, 90.00 degrees
Last column: nearest neighbours and their distance in Å.
Sites, in units of the cell vectors:
Ca 0.5000 0.0000 0.0000  2 B 2.68
B 0.0000 0.0000 0.0000  4 Ca 2.68, 2 Ba 2.73
Ca 0.0000 0.0000 0.5000  2 B 2.68
Ba 0.0000 0.5000 0.0000  2 B 2.73
Bi 0.5000 0.5000 0.5000  4 Ba 3.79, 8 Ca 3.82

## Properties
SG: No. 123
theoretical density: 4.6 g/cm3
electronic total energy: -0.2532 Ry/atom
ΔE_f: -0.148 eV per atom

Q: Number 2 is which compound?
A: BaBe2B2O6